{
  "formula": "Cs2CrGeF6",
  "functional": "GGA+U",
  "state": "relaxed",
  "lattice_angstrom": [[-3.1089, 3.1089, 4.7044], [3.1089, -3.1089, 4.7044], [3.1089, 3.1089, -4.7044]],
  "species": ["Cs", "Cs", "Cr", "Ge", "F", "F", "F", "F", "F", "F"],
  "frac_coords": [[0.2500, 0.7500, 0.5000], [0.7500, 0.2500, 0.5000], [0.0000, 0.0000, 0.0000], [0.5000, 0.5000, 0.0000], [0.2340, 0.2340, 0.4679], [0.2340, 0.7660, 0.0000], [0.2670, 0.2670, 0.0000], [0.7330, 0.7330, 0.0000], [0.7660, 0.2340, 0.0000], [0.7660, 0.7660, 0.5321]],
  "magmom_total_mub_per_fu": 4.00,
  "energy_ev_per_fu": -50.2
}